Entry 1:
Material: LiZr3As
Method: DFT, meta-GGA SCAN
State: PBEsol geometry

Properties
As for the electronic total energy: -114.31 eV per cell.

CIF file:
```
data_LiZr3As
_chemical_formula_sum 'Li1 Zr3 As1'
_space_group_name_H-M_alt 'P 1'
_space_group_IT_number 1
_space_group_name_Hall 'P 1'
_cell_length_a 5.0115
_cell_length_b 5.0115
_cell_length_c 5.0115
_cell_angle_alpha 90.00
_cell_angle_beta 90.00
_cell_angle_gamma 90.00
loop_
_atom_site_label
_atom_site_type_symbol
_atom_site_fract_x
_atom_site_fract_y
_atom_site_fract_z
As1 As 0.0000 0.0000 0.0000
Zr1 Zr 0.0000 0.5000 0.0000
Zr2 Zr 0.0000 0.0000 0.5000
Zr3 Zr 0.5000 0.0000 0.0000
Li1 Li 0.5000 0.5000 0.5000
```

---

Entry 2:
Material: CaMg3Sb
Method: DFT, meta-GGA SCAN
State: PBEsol geometry

Properties
Its uncorrected formation energy is 16.9 kJ per mole of atoms.

CIF file:
```
data_CaMg3Sb
_chemical_formula_sum 'Ca1 Mg3 Sb1'
_space_group_name_H-M_alt 'P 1'
_space_group_IT_number 1
_space_group_name_Hall 'P 1'
_cell_length_a 5.4745
_cell_length_b 5.4745
_cell_length_c 5.4745
_cell_angle_alpha 90.00
_cell_angle_beta 90.00
_cell_angle_gamma 90.00
loop_
_atom_site_label
_atom_site_type_symbol
_atom_site_fract_x
_atom_site_fract_y
_atom_site_fract_z
Sb1 Sb 0.0000 0.0000 0.0000
Ca1 Ca 0.5000 0.5000 0.5000
Mg1 Mg 0.0000 0.5000 0.0000
Mg2 Mg 0.0000 0.0000 0.5000
Mg3 Mg 0.5000 0.0000 0.0000
```

---

Entry 3:
Material: Zr2NiP
Method: DFT, meta-GGA SCAN
State: PBEsol geometry

Properties
As for the electronic total energy: -89.70 eV per cell.

CIF file:
```
data_Zr2NiP
_chemical_formula_sum 'Zr2 Ni1 P1'
_space_group_name_H-M_alt 'P 1'
_space_group_IT_number 1
_space_group_name_Hall 'P 1'
_cell_length_a 3.1753
_cell_length_b 3.1753
_cell_length_c 6.9033
_cell_angle_alpha 90.00
_cell_angle_beta 90.00
_cell_angle_gamma 103.16
loop_
_atom_site_label
_atom_site_type_symbol
_atom_site_fract_x
_atom_site_fract_y
_atom_site_fract_z
Ni1 Ni 0.0000 0.0000 0.4572
P1 P 0.5000 0.5000 0.2969
Zr1 Zr 0.0000 0.0000 0.0480
Zr2 Zr 0.5000 0.5000 0.6979
```

---

Entry 4:
Material: K2SrBH
Method: DFT, meta-GGA SCAN
State: PBEsol geometry

Properties
As for the electronic total energy: -47.07 eV per cell.

CIF file:
```
data_K2SrBH
_chemical_formula_sum 'K2 Sr1 B1 H1'
_space_group_name_H-M_alt 'P 1'
_space_group_IT_number 1
_space_group_name_Hall 'P 1'
_cell_length_a 4.8249
_cell_length_b 4.8249
_cell_length_c 5.4018
_cell_angle_alpha 90.00
_cell_angle_beta 90.00
_cell_angle_gamma 90.00
loop_
_atom_site_label
_atom_site_type_symbol
_atom_site_fract_x
_atom_site_fract_y
_atom_site_fract_z
Sr1 Sr 0.0000 0.0000 0.5000
K1 K 0.0000 0.5000 0.0000
K2 K 0.5000 0.0000 0.0000
B1 B 0.5000 0.5000 0.5000
H1 H 0.0000 0.0000 0.0000
```

---

Entry 5:
Material: ZrZnCr2
Method: DFT, meta-GGA SCAN
State: PBEsol geometry

Properties
As for the electronic total energy: -79.94 eV per cell.

CIF file:
```
data_ZrZnCr2
_chemical_formula_sum 'Zr1 Zn1 Cr2'
_space_group_name_H-M_alt 'P 1'
_space_group_IT_number 1
_space_group_name_Hall 'P 1'
_cell_length_a 2.6615
_cell_length_b 2.6615
_cell_length_c 8.6029
_cell_angle_alpha 90.00
_cell_angle_beta 90.00
_cell_angle_gamma 110.68
loop_
_atom_site_label
_atom_site_type_symbol
_atom_site_fract_x
_atom_site_fract_y
_atom_site_fract_z
Cr1 Cr 0.0000 0.0000 0.9668
Cr2 Cr 0.5000 0.5000 0.7706
Zn1 Zn 0.0000 0.0000 0.5269
Zr1 Zr 0.5000 0.5000 0.2357
```

---

Entry 6:
Material: Sc3GePb
Method: DFT, meta-GGA SCAN
State: PBEsol geometry

Properties
As for the electronic total energy: -136.02 eV per cell.

CIF file:
```
data_Sc3GePb
_chemical_formula_sum 'Sc3 Ge1 Pb1'
_space_group_name_H-M_alt 'P 1'
_space_group_IT_number 1
_space_group_name_Hall 'P 1'
_cell_length_a 5.2798
_cell_length_b 5.2798
_cell_length_c 5.2798
_cell_angle_alpha 90.00
_cell_angle_beta 90.00
_cell_angle_gamma 90.00
loop_
_atom_site_label
_atom_site_type_symbol
_atom_site_fract_x
_atom_site_fract_y
_atom_site_fract_z
Pb1 Pb 0.0000 0.0000 0.0000
Sc1 Sc 0.0000 0.5000 0.0000
Sc2 Sc 0.0000 0.0000 0.5000
Sc3 Sc 0.5000 0.0000 0.0000
Ge1 Ge 0.5000 0.5000 0.5000
```

---

Record order is preserved below.
Total moment: 0.0, 0.0, 0.0, 1.9, 0.0, 0.0 μB per formula unit